Below is Os2AuCl after structural relaxation, with properties calculated at the GGA-PBE level.

Properties
V: 150.43 Å³/cell
total energy: -5.58 eV/atom

abc: 8.6965 8.6965 8.6965
angles: 151.40 151.40 40.90
Element x y z (fractional)
Os: 0.0186 0.6250 0.8936
Os: 0.3750 0.2686 0.3936
Os: 0.7314 0.1250 0.1064
Os: 0.8750 0.9814 0.6064
Au: 0.2500 0.7500 0.5000
Au: 0.5000 0.5000 0.0000
Cl: 0.0000 0.0000 0.0000
Cl: 0.7500 0.2500 0.5000

Below is Ta2Cu3 after structural relaxation, with properties calculated at the GGA-PBE level.

Properties
V: 145.36 Å³/cell
formation energy: 191.0 meV/atom
total energy: -7.01 eV/atom

abc: 7.0304 5.0410 7.8620
angles: 61.52 39.07 79.41
Element x y z (fractional)
Ta: 0.2346 0.7654 0.3751
Ta: 0.6251 0.8749 0.4846
Ta: 0.7654 0.2346 0.6249
Ta: 0.8749 0.6251 0.0154
Cu: 0.1719 0.8004 0.0624
Cu: 0.1876 0.2847 0.0781
Cu: 0.2847 0.1876 0.4496
Cu: 0.3418 0.3418 0.6582
Cu: 0.5918 0.5918 0.9082
Cu: 0.8004 0.1719 0.9653

Below is TbEr2Pb after structural relaxation, with properties calculated at the GGA-PBE level.

Properties
V: 241.81 Å³/cell
formation energy: -289.4 meV/atom
total energy: -4.66 eV/atom

abc: 4.6166 4.6702 11.4496
angles: 90.00 101.61 90.00
Element x y z (fractional)
Tb: 0.1901 0.2500 0.3823
Tb: 0.8099 0.7500 0.6177
Er: 0.0579 0.7500 0.1159
Er: 0.4381 0.7500 0.8758
Er: 0.5619 0.2500 0.1242
Er: 0.9421 0.2500 0.8841
Pb: 0.3344 0.2500 0.6662
Pb: 0.6656 0.7500 0.3338

Below is SrNd2Y after structural relaxation, with properties calculated at the GGA-PBE level.

Properties
V: 150.91 Å³/cell
formation energy: 205.0 meV/atom
total energy: -4.22 eV/atom

abc: 5.9759 5.9759 5.9759
angles: 60.00 60.00 60.00
Element x y z (fractional)
Sr: 0.0000 0.0000 0.0000
Nd: 0.2500 0.2500 0.2500
Nd: 0.7500 0.7500 0.7500
Y: 0.5000 0.5000 0.5000

Below is RbTl2As after structural relaxation, with properties calculated at the GGA-PBE level.

Properties
V: 127.72 Å³/cell
formation energy: -83.6 meV/atom
total energy: -2.67 eV/atom

abc: 3.9263 3.9263 8.2848
angles: 90.00 90.00 90.00
Element x y z (fractional)
Rb: 0.0000 0.0000 0.0000
Tl: 0.5000 0.5000 0.3097
Tl: 0.5000 0.5000 0.6903
As: 0.0000 0.0000 0.5000

Below is Th6BC2S3 after structural relaxation, with properties calculated at the GGA-PBE level.

Properties
V: 264.68 Å³/cell
total energy: -7.98 eV/atom

abc: 8.9689 8.9689 8.0822
angles: 105.81 105.81 25.09
Element x y z (fractional)
Th: 0.0096 0.0096 0.2351
Th: 0.3250 0.3250 0.4376
Th: 0.3390 0.3390 0.8927
Th: 0.6610 0.6610 0.1073
Th: 0.6750 0.6750 0.5624
Th: 0.9904 0.9904 0.7649
B: 0.5000 0.5000 0.0000
C: 0.1690 0.1690 0.3367
C: 0.8310 0.8310 0.6633
S: 0.1651 0.1651 0.8334
S: 0.5000 0.5000 0.5000
S: 0.8349 0.8349 0.1666

Below is La3Pm2PuTe6 after structural relaxation, with properties calculated at the GGA-PBE level.

Properties
V: 391.25 Å³/cell
total energy: -6.25 eV/atom

abc: 10.1028 10.1028 9.0688
angles: 103.01 103.01 25.75
Element x y z (fractional)
La: 0.0000 0.0000 0.0000
La: 0.3326 0.3326 0.6663
La: 0.6674 0.6674 0.3337
Pm: 0.3344 0.3344 0.1691
Pm: 0.6656 0.6656 0.8309
Pu: 0.0000 0.0000 0.5000
Te: 0.1640 0.1640 0.5861
Te: 0.1687 0.1687 0.0786
Te: 0.4990 0.4990 0.2568
Te: 0.5010 0.5010 0.7432
Te: 0.8313 0.8313 0.9214
Te: 0.8360 0.8360 0.4139

Below is CaMo3I after structural relaxation, with properties calculated at the GGA-PBE level.

Properties
V: 121.49 Å³/cell
total energy: -5.55 eV/atom

abc: 4.9528 4.9528 4.9528
angles: 90.00 90.00 90.00
Element x y z (fractional)
Ca: 0.0000 0.0000 0.0000
Mo: 0.0000 0.5000 0.5000
Mo: 0.5000 0.0000 0.5000
Mo: 0.5000 0.5000 0.0000
I: 0.5000 0.5000 0.5000

Below is Rb2Ga2Pb after structural relaxation, with properties calculated at the GGA-PBE level.

Properties
V: 445.35 Å³/cell
formation energy: 10.6 meV/atom
total energy: -2.33 eV/atom

abc: 7.9403 7.9403 8.7841
angles: 106.14 106.14 112.04
Element x y z (fractional)
Rb: 0.0748 0.3744 0.2667
Rb: 0.3744 0.0748 0.2667
Rb: 0.6256 0.9252 0.7333
Rb: 0.9252 0.6256 0.7333
Ga: 0.1878 0.1878 0.8876
Ga: 0.3891 0.3891 0.6847
Ga: 0.6109 0.6109 0.3153
Ga: 0.8122 0.8122 0.1124
Pb: 0.3794 0.6206 0.0000
Pb: 0.6206 0.3794 0.0000

Below is CeErSc2P4 after structural relaxation, with properties calculated at the GGA-PBE level.

Properties
V: 166.57 Å³/cell
formation energy: -1511.0 meV/atom
total energy: -7.11 eV/atom

abc: 6.7121 3.9007 6.7499
angles: 90.00 109.52 90.00
Element x y z (fractional)
Ce: 0.0000 0.0000 0.0000
Er: 0.0000 0.5000 0.5000
Sc: 0.5000 0.0000 0.5000
Sc: 0.5000 0.5000 0.0000
P: 0.2637 0.0000 0.7532
P: 0.2666 0.5000 0.2580
P: 0.7334 0.5000 0.7420
P: 0.7363 0.0000 0.2468

Below is MgSn2Rh4 after structural relaxation, with properties calculated at the GGA-PBE level.

Properties
V: 120.32 Å³/cell
formation energy: -448.3 meV/atom
total energy: -6.02 eV/atom

abc: 7.6520 7.6520 7.6520
angles: 33.31 33.31 33.31
Element x y z (fractional)
Mg: 0.0000 0.0000 0.0000
Sn: 0.2467 0.2467 0.2467
Sn: 0.7533 0.7533 0.7533
Rh: 0.1250 0.1250 0.1250
Rh: 0.3748 0.3748 0.3748
Rh: 0.6252 0.6252 0.6252
Rh: 0.8750 0.8750 0.8750

Below is YNiS2 after structural relaxation, with properties calculated at the GGA-PBE level.

Properties
V: 102.03 Å³/cell
total energy: -6.18 eV/atom

abc: 7.4700 7.4700 7.4700
angles: 31.67 31.67 31.67
Element x y z (fractional)
Y: 0.0000 0.0000 0.0000
Ni: 0.5000 0.5000 0.5000
S: 0.4000 0.4000 0.4000
S: 0.6000 0.6000 0.6000